1.
## ScCrSn2 (PBE-GGA)

Data for a relaxed structure of ScCrSn2.

POSCAR file:
```
ScCrSn2
1.0
7.712 0.000 0.000
0.000 7.712 0.000
3.856 3.856 3.076
Cr Sc Sn
2 2 4
direct
0.750 0.250 0.500
0.000 0.000 0.000
0.500 0.500 0.000
0.250 0.750 0.500
0.875 0.901 0.750
0.375 0.349 0.750
0.099 0.625 0.250
0.651 0.125 0.250
```

Output
The calculated formation energy is 75.4 meV per atom. The calculation puts the energy relative to the lowest polymorph listed for this composition at 0 meV/atom. As for the crystal system: tetragonal.

---

2.
## MgCuPd3 (PBE-GGA)

Data for a relaxed structure of MgCuPd3.

POSCAR file:
```
MgCuPd3
1.0
4.629 0.000 0.000
0.000 6.500 0.002
0.000 -3.247 5.631
Pd Mg Cu
6 2 2
direct
0.250 0.391 0.196
0.250 0.804 0.609
0.250 0.805 0.195
0.750 0.196 0.391
0.750 0.195 0.805
0.750 0.609 0.804
0.250 0.333 0.667
0.750 0.667 0.333
0.500 0.000 0.000
0.000 0.000 0.000
```

Output
The calculated formation energy is -88.5 meV per atom. The calculation puts the energy relative to the lowest polymorph listed for this composition at 219 meV/atom. As for the crystal system: hexagonal.

---

3.
## CaZrI3 (PBE-GGA)

Data for a relaxed structure of CaZrI3.

POSCAR file:
```
CaZrI3
1.0
5.760 0.000 0.000
0.000 5.760 0.000
0.000 0.000 5.760
I Ca Zr
3 1 1
direct
0.000 0.000 0.500
0.500 0.000 0.000
0.000 0.500 0.000
0.500 0.500 0.500
0.000 0.000 0.000
```

Output
The calculation puts the energy relative to the lowest polymorph listed for this composition at 0 meV/atom. As for the crystal system: cubic. The formation energy (no corrections) comes out at -415 meV/atom.

---

4.
## SiSe2Br (PBE-GGA)

Data for a relaxed structure of SiSe2Br.

POSCAR file:
```
SiSe2Br
1.0
-5.861 2.753 -6.779
-3.654 0.789 -8.597
-6.301 -0.685 -6.908
Si Se Br
1 2 1
direct
0.508 0.508 0.508
0.992 0.992 0.992
0.225 0.225 0.225
0.776 0.776 0.776
```

Output
The calculation puts the energy relative to the lowest polymorph listed for this composition at 295 meV/atom. As for the crystal system: trigonal. The formation energy (no corrections) comes out at 182 meV/atom.

---

5.
## Nd3Ga8Pd3 (PBE-GGA)

Data for a relaxed structure of Nd3Ga8Pd3.

POSCAR file:
```
Nd3Ga8Pd3
1.0
4.347 0.000 1.146
1.426 7.421 3.405
0.107 -0.122 8.407
Nd Ga Pd
3 8 3
direct
0.000 0.000 0.000
0.291 0.718 0.699
0.709 0.282 0.301
0.139 0.148 0.574
0.150 0.567 0.134
0.504 0.670 0.322
0.850 0.433 0.866
0.496 0.330 0.678
0.652 0.979 0.717
0.348 0.021 0.283
0.861 0.852 0.426
0.000 0.500 0.500
0.652 0.701 0.995
0.348 0.299 0.005
```

Output
The calculated formation energy is -695.3 meV per atom. The calculation puts the energy relative to the lowest polymorph listed for this composition at 19 meV/atom. As for the crystal system: monoclinic.

---

6.
## BeNbH (PBE-GGA)

Data for a relaxed structure of BeNbH.

POSCAR file:
```
BeNbH
1.0
3.509 0.000 0.000
0.000 1.715 -4.705
0.000 1.715 4.705
H Be Nb
2 2 2
direct
0.500 0.094 0.906
0.000 0.793 0.207
0.500 0.598 0.402
0.000 0.467 0.533
0.500 0.885 0.115
0.000 0.186 0.814
```

Output
The calculation puts the energy relative to the lowest polymorph listed for this composition at 46 meV/atom. As for the crystal system: orthorhombic.

---

7.
## CaIn2Ni (PBE-GGA)

Data for a relaxed structure of CaIn2Ni.

POSCAR file:
```
CaIn2Ni
1.0
-3.729 -2.810 3.378
1.717 -6.558 -3.561
5.791 -1.346 5.272
In Ni Ca
8 4 4
direct
0.612 0.447 0.675
0.888 0.053 0.175
0.388 0.553 0.325
0.112 0.947 0.825
0.112 0.553 0.825
0.388 0.947 0.325
0.612 0.053 0.675
0.888 0.447 0.175
0.884 0.250 0.886
0.384 0.750 0.614
0.616 0.250 0.386
0.116 0.750 0.114
0.606 0.750 0.966
0.106 0.250 0.534
0.394 0.250 0.034
0.894 0.750 0.466
```

Output
The calculated formation energy is -342.7 meV per atom. As for the crystal system: orthorhombic.

---

8.
## Tm2Ga2Co5Si (PBE-GGA)

Data for a relaxed structure of Tm2Ga2Co5Si.

POSCAR file:
```
Tm2Ga2Co5Si
1.0
-1.515 -1.290 2.531
-3.190 -6.972 -5.463
7.669 -5.079 2.003
Co Tm Ga Si
10 4 4 2
direct
0.500 0.059 0.807
0.500 0.941 0.193
0.500 0.693 0.441
0.500 0.500 0.000
0.500 0.559 0.693
0.500 0.441 0.307
0.500 0.807 0.941
0.500 0.307 0.559
0.500 0.000 0.500
0.500 0.193 0.059
0.000 0.328 0.828
0.000 0.172 0.328
0.000 0.828 0.672
0.000 0.672 0.172
0.000 0.373 0.127
0.000 0.127 0.627
0.000 0.873 0.373
0.000 0.627 0.873
0.000 0.500 0.500
0.000 0.000 0.000
```

Output
As for the crystal system: tetragonal. The formation energy (no corrections) comes out at -297 meV/atom.

---

| no. | M_tot (μB/f.u.) |
| --- | --- |
| 1 | 3.2 |
| 2 | 0.0 |
| 3 | 0.0 |
| 4 | 0.0 |
| 5 | 0.0 |
| 6 | 0.0 |
| 7 | 0.0 |
| 8 | 0.0 |